Computed, not measured: an optimized crystal structure of HoMnTc at the PBE level of DFT.

Calculated values
Symmetry: P4_12_12 (92)
Energy above the most stable polymorph in this dataset: 0.5269 eV/atom
ΔH_f (0 K): 127 kJ/mol of formula units

abc: 6.541 6.541 5.701
angles: 90.00 90.00 90.00
Element x y z (fractional)
Ho  0.239  0.239  0.000
Ho  0.261  0.739  0.250
Ho  0.739  0.261  0.750
Ho  0.761  0.761  0.500
Mn  0.056  0.056  0.500
Mn  0.444  0.556  0.750
Mn  0.556  0.444  0.250
Mn  0.944  0.944  0.000
Tc  0.190  0.810  0.750
Tc  0.310  0.310  0.500
Tc  0.690  0.690  0.000
Tc  0.810  0.190  0.250



Computed, not measured: an optimized crystal structure of TbCu4Ir at the PBE level of DFT.

Calculated values
Symmetry: F-43m (216)
ΔH_f (0 K): -129 kJ/mol of formula units

abc: 4.976 4.976 4.976
angles: 60.00 60.00 60.00
Element x y z (fractional)
Tb  0.000  0.000  0.000
Cu  0.128  0.624  0.624
Cu  0.624  0.128  0.624
Cu  0.624  0.624  0.128
Cu  0.624  0.624  0.624
Ir  0.250  0.250  0.250



Computed, not measured: an optimized crystal structure of Pm8SiC3Cl4 at the PBE level of DFT.

Calculated values
ΔE_f (raw): -1042 meV/atom
Symmetry: R-3m (166)

abc: 8.368 8.368 8.368
angles: 55.22 55.22 55.22
Element x y z (fractional)
Pm  0.210  0.744  0.744
Pm  0.230  0.230  0.230
Pm  0.256  0.256  0.790
Pm  0.256  0.790  0.256
Pm  0.744  0.210  0.744
Pm  0.744  0.744  0.210
Pm  0.770  0.770  0.770
Pm  0.790  0.256  0.256
Si  0.500  0.500  0.500
C  0.000  0.000  0.500
C  0.000  0.500  0.000
C  0.500  0.000  0.000
Cl  0.000  0.000  0.000
Cl  0.000  0.500  0.500
Cl  0.500  0.000  0.500
Cl  0.500  0.500  0.000



Computed, not measured: an optimized crystal structure of Ac2Pr2Mg at the PBE level of DFT.

Calculated values
Symmetry: I4/mmm (139)
Energy above the most stable polymorph in this dataset: 0.3378 eV/atom
ΔH_f (0 K): 157 kJ/mol of formula units

abc: 10.466 10.466 10.466
angles: 154.88 154.88 35.83
Element x y z (fractional)
Ac  0.092  0.092  0.000
Ac  0.908  0.908  0.000
Pr  0.250  0.750  0.500
Pr  0.750  0.250  0.500
Mg  0.500  0.500  0.000



Computed, not measured: an optimized crystal structure of InSn2Hg at the PBE level of DFT.

Calculated values
Symmetry: Fm-3m (225)
Energy above the most stable polymorph in this dataset: 0.0413 eV/atom
ΔH_f (0 K): 29 kJ/mol of formula units

abc: 5.346 5.346 5.346
angles: 60.00 60.00 60.00
Element x y z (fractional)
In  0.000  0.000  0.000
Sn  0.250  0.250  0.250
Sn  0.750  0.750  0.750
Hg  0.500  0.500  0.500



Computed, not measured: an optimized crystal structure of Th5Sb5Pt at the PBE level of DFT.

Calculated values
ΔE_f (raw): -753 meV/atom
Symmetry: C2/m (12)

abc: 7.745 7.745 8.832
angles: 107.17 107.17 48.22
Element x y z (fractional)
Th  0.000  0.000  0.000
Th  0.343  0.343  0.681
Th  0.345  0.345  0.156
Th  0.655  0.655  0.844
Th  0.657  0.657  0.319
Sb  0.162  0.162  0.823
Sb  0.180  0.180  0.335
Sb  0.500  0.500  0.500
Sb  0.820  0.820  0.665
Sb  0.838  0.838  0.177
Pt  0.500  0.500  0.000



| no. | magnetic moment (μB per cell) |
| --- | --- |
| 1 | 0.00 |
| 2 | 0.00 |
| 3 | 0.00 |
| 4 | 0.00 |
| 5 | 0.00 |
| 6 | 0.00 |